# 1
The following is a PBE calculation of a geometry-optimized Ba2Li2Rh structure, from the Alexandria database.

a = 7.3534 Å, b = 7.3534 Å, c = 5.1431 Å
α = 90.00°, β = 90.00°, γ = 90.00°
Last column: nearest neighbours and their distance in Å.
Positions (direct):
Li 0.3640 0.8640 0.0000  1 Li 2.83, 2 Rh 2.86, 2 Ba 3.09
Li 0.1360 0.3640 0.0000  1 Li 2.83, 2 Rh 2.86, 2 Ba 3.09
Rh 0.5000 0.5000 0.0000  4 Li 2.86
Ba 0.6990 0.8010 0.5000  2 Li 3.09
Rh 0.0000 0.0000 0.0000  4 Li 2.86
Li 0.6360 0.1360 0.0000  1 Li 2.83, 2 Rh 2.86, 2 Ba 3.09
Ba 0.8010 0.3010 0.5000  2 Li 3.09
Ba 0.3010 0.1990 0.5000  2 Li 3.09
Ba 0.1990 0.6990 0.5000  2 Li 3.09
Li 0.8640 0.6360 0.0000  1 Li 2.83, 2 Rh 2.86, 2 Ba 3.09

Computed properties:
SG	P4/mbm (127)
crystal system	tetragonal
E_tot	-0.1053	hartree per atom
ΔE_f	141	meV/atom
distance to the lowest polymorph of the same formula	0.181	eV per atom

# 2
The following is a PBE calculation of a geometry-optimized Pa2Se3N structure, from the Alexandria database.

a = 3.9666 Å, b = 8.1683 Å, c = 10.9207 Å
α = 100.89°, β = 90.00°, γ = 104.05°
Last column: nearest neighbours and their distance in Å.
Positions (direct):
Pa 0.3983 0.7966 0.5434  2 N 2.25-2.26
N 0.4603 0.9205 0.3736  4 Pa 2.25-2.40
Pa 0.9227 0.8455 0.2518  2 N 2.40
Pa 0.6017 0.2034 0.4566  2 N 2.25-2.26
Pa 0.0773 0.1545 0.7482  2 N 2.40
Se 0.1005 0.2011 0.2661  3 Pa 2.79-2.87
Se 0.6295 0.2590 0.9205  2 Pa 2.75
Se 0.3705 0.7410 0.0795  2 Pa 2.75
Se 0.7901 0.5802 0.3886  3 Pa 2.81-2.93
Se 0.8995 0.7989 0.7339  3 Pa 2.79-2.87
N 0.5397 0.0795 0.6264  4 Pa 2.25-2.40
Se 0.2099 0.4198 0.6114  3 Pa 2.81-2.93

Computed properties:
SG	C2/m (12)
crystal system	monoclinic
E_tot	-0.2858	hartree per atom
ΔE_f (raw)	-1.482	eV per atom
distance to the lowest polymorph of the same formula	0.000	eV per atom

# 3
The following is a PBE calculation of a geometry-optimized Dy5ScRu6 structure, from the Alexandria database.

a = 4.7742 Å, b = 8.2317 Å, c = 8.2317 Å
α = 119.95°, β = 106.79°, γ = 106.79°
Last column: nearest neighbours and their distance in Å.
Positions (direct):
Dy 0.5000 0.5000 0.5000  8 Ru 2.89-2.95
Ru 0.2473 0.0832 0.4109  1 Sc 2.87, 7 Dy 2.89-2.99
Ru 0.7441 0.2443 0.2443  6 Dy 2.85-2.95, 2 Sc 2.90
Dy 0.5000 0.1638 0.8362  8 Ru 2.85-2.99
Dy 0.0000 0.3329 0.6671  8 Ru 2.93-2.94
Dy 0.0000 0.6671 0.3329  8 Ru 2.93-2.94
Sc 0.0000 0.0000 0.0000  8 Ru 2.87-2.90
Ru 0.7527 0.5891 0.9168  1 Sc 2.87, 7 Dy 2.89-2.99
Ru 0.7527 0.9168 0.5891  1 Sc 2.87, 7 Dy 2.89-2.99
Ru 0.2473 0.4109 0.0832  1 Sc 2.87, 7 Dy 2.89-2.99
Dy 0.5000 0.8362 0.1638  8 Ru 2.85-2.99
Ru 0.2559 0.7557 0.7557  6 Dy 2.85-2.95, 2 Sc 2.90

Computed properties:
SG	C2/m (12)
crystal system	monoclinic
E_tot	-0.2730	hartree per atom
ΔE_f	-346	meV/atom

# 4
The following is a PBE calculation of a geometry-optimized PaPH2O6 structure, from the Alexandria database.

a = 4.8905 Å, b = 5.2603 Å, c = 5.2568 Å
α = 92.31°, β = 110.29°, γ = 125.15°
Last column: nearest neighbours and their distance in Å.
Positions (direct):
Pa 0.9966 0.4978 0.4803  4 O 2.11-2.14
O 0.8191 0.7763 0.2013  1 H 0.99
P 0.9966 0.9978 0.9803  6 O 1.68-1.76
O 0.5770 0.8890 0.7568  1 P 1.68
O 0.1741 0.2192 0.7592  1 H 0.99
O 0.4161 0.1065 0.2037  1 P 1.68
O 0.8810 0.6544 0.7756  1 P 1.73
H 0.5598 0.6862 0.1566  1 O 0.99
H 0.4333 0.3093 0.8039  1 O 0.99
O 0.1121 0.3412 0.1849  1 P 1.73

Computed properties:
SG	P-1 (2)
crystal system	triclinic
E_tot	-0.2663	hartree per atom

# 5
The following is a PBE calculation of a geometry-optimized AcMgAl structure, from the Alexandria database.

a = 3.9610 Å, b = 5.0518 Å, c = 5.0518 Å
α = 120.00°, β = 90.00°, γ = 90.00°
Last column: nearest neighbours and their distance in Å.
Positions (direct):
Mg 0.1672 0.6667 0.3333  3 Al 2.92
Al 0.1663 0.0000 0.0000  3 Mg 2.92
Ac 0.6665 0.3333 0.6667  6 Mg 3.52-3.53, 6 Al 3.52-3.53

Computed properties:
SG	P-6m2 (187)
crystal system	hexagonal
E_tot	-0.1224	hartree per atom
ΔE_f	-183	meV/atom
distance to the lowest polymorph of the same formula	0.056	eV per atom

# 6
The following is a PBE calculation of a geometry-optimized Ir5Cl4 structure, from the Alexandria database.

a = 7.1720 Å, b = 7.1720 Å, c = 6.7728 Å
α = 90.00°, β = 90.00°, γ = 120.00°
Last column: nearest neighbours and their distance in Å.
Positions (direct):
Ir 0.6667 0.3333 0.0000  6 Ir 2.83, 6 Cl 2.98
Ir 0.3721 0.0000 0.7500  3 Cl 2.23-2.49
Cl 0.6835 0.0000 0.7500  3 Ir 2.23-2.49
Cl 0.3165 0.0000 0.2500  3 Ir 2.23-2.49
Cl 0.0000 0.6835 0.7500  3 Ir 2.23-2.49
Cl 0.3165 0.3165 0.7500  3 Ir 2.23-2.49
Ir 0.6279 0.6279 0.7500  3 Cl 2.23-2.49
Ir 0.3333 0.6667 0.5000  6 Ir 2.83, 6 Cl 2.98
Ir 0.6279 0.0000 0.2500  3 Cl 2.23-2.49
Ir 0.3333 0.6667 0.0000  6 Ir 2.83, 6 Cl 2.98
Ir 0.3721 0.3721 0.2500  3 Cl 2.23-2.49
Ir 0.6667 0.3333 0.5000  6 Ir 2.83, 6 Cl 2.98
Cl 0.6835 0.6835 0.2500  3 Ir 2.23-2.49
Ir 0.0000 0.6279 0.2500  3 Cl 2.23-2.49
Cl 0.0000 0.0000 0.0000  6 Cl 2.83, 6 Ir 3.16
Cl 0.0000 0.0000 0.5000  6 Cl 2.83, 6 Ir 3.16
Ir 0.0000 0.3721 0.7500  3 Cl 2.23-2.49
Cl 0.0000 0.3165 0.2500  3 Ir 2.23-2.49

Computed properties:
SG	P6_3/mcm (193)
crystal system	hexagonal
E_tot	-0.1695	hartree per atom
ΔE_f (raw)	1.130	eV per atom
distance to the lowest polymorph of the same formula	0.295	eV per atom

> What is the E_tot in the fifth record?

-0.1224 hartree per atom